Below is an optimized crystal structure of HoScAsO, with properties calculated at the PBE level.

Output
Total moment, μB per cell: 0.08
Energy above the most stable polymorph in this dataset, meV per atom: 31

Cell lengths 4.154, 4.154, 8.652 Å; angles 90.00, 90.00, 90.00 degrees
Fractional coordinates of all 8 atoms:
As 0.000 0.500 0.307
As 0.500 0.000 0.693
Ho 0.500 0.000 0.111
Ho 0.000 0.500 0.889
O 0.000 0.000 0.000
O 0.500 0.500 0.000
Sc 0.000 0.000 0.500
Sc 0.500 0.500 0.500

Below is an optimized crystal structure of HoScAsO, with properties calculated at the PBE level.

Output
Total moment, μB per cell: 1.81
Energy above the most stable polymorph in this dataset, meV per atom: 0

Cell lengths 3.957, 5.808, 6.856 Å; angles 90.00, 90.00, 90.00 degrees
Last column: magnetic moment on the atom in μB.
Fractional coordinates of all 8 atoms:
As 0.000 0.698 0.315  0.00
As 0.000 0.302 0.815  0.00
Ho 0.500 0.431 0.105  0.18
Ho 0.500 0.569 0.605  0.20
O 0.500 0.240 0.397  0.00
O 0.500 0.760 0.897  0.00
Sc 0.000 0.140 0.437  0.35
Sc 0.000 0.860 0.937  0.36